# 1
This record from the Alexandria database describes crystalline CsBeZnCO at its relaxed geometry. The functional is PBE.

The structure in CIF format:
```
data_CsBeZnCO
_cell_length_a 8.031
_cell_length_b 3.664
_cell_length_c 7.690
_cell_angle_alpha 90.00
_cell_angle_beta 104.66
_cell_angle_gamma 90.00
_symmetry_space_group_name_H-M 'C 1 m 1'
_symmetry_Int_Tables_number 8
loop_
_symmetry_equiv_pos_as_xyz
'x,y,z'
'x,-y,z'
'x+1/2,y+1/2,z'
'x+1/2,-y+1/2,z'
loop_
_atom_site_label
_atom_site_type_symbol
_atom_site_fract_x
_atom_site_fract_y
_atom_site_fract_z
_atom_site_occupancy
Cs1 Cs 0.000 0.000 0.000 1
Be1 Be 0.057 0.500 0.598 1
Zn1 Zn 0.254 0.000 0.598 1
C1 C 0.440 0.000 0.394 1
O1 O 0.349 0.000 0.240 1
```

Results
Polymorph energy (0 for the lowest one) (meV per atom): 228
Size of the total moment (μB per formula unit): 0.0
Formation energy (no corrections) (meV per atom): -80
Electronic total energy (eV per atom): -4.087

# 2
This record from the Alexandria database describes crystalline Rb2IrAu2 at its relaxed geometry. The functional is PBE.

The structure in CIF format:
```
data_Rb2IrAu2
_cell_length_a 10.330
_cell_length_b 10.330
_cell_length_c 2.824
_cell_angle_alpha 90.00
_cell_angle_beta 90.00
_cell_angle_gamma 90.00
_symmetry_space_group_name_H-M 'P 4/m b m'
_symmetry_Int_Tables_number 127
_symmetry_space_group_name_Hall '-P 4 2ab'
loop_
_atom_site_label
_atom_site_type_symbol
_atom_site_fract_x
_atom_site_fract_y
_atom_site_fract_z
_atom_site_occupancy
Rb1 Rb 0.194 0.306 0.000 1
Ir1 Ir 0.000 0.000 0.000 1
Au1 Au 0.098 0.598 0.500 1
```

Results
E_form (meV per atom): 744
Polymorph energy (0 for the lowest one) (meV per atom): 481
Size of the total moment (μB per formula unit): 0.8
Electronic total energy (eV per atom): -2.726

# 3
This record from the Alexandria database describes crystalline ScSb2Ir2 at its relaxed geometry. The functional is PBE.

The structure in CIF format:
```
data_ScSb2Ir2
_cell_length_a 7.187
_cell_length_b 7.187
_cell_length_c 3.822
_cell_angle_alpha 90.00
_cell_angle_beta 90.00
_cell_angle_gamma 90.00
_symmetry_space_group_name_H-M 'P 4/m b m'
_symmetry_Int_Tables_number 127
_symmetry_space_group_name_Hall '-P 4 2ab'
loop_
_atom_site_label
_atom_site_type_symbol
_atom_site_fract_x
_atom_site_fract_y
_atom_site_fract_z
_atom_site_occupancy
Sc1 Sc 0.000 0.000 0.000 1
Sb1 Sb 0.173 0.327 0.500 1
Ir1 Ir 0.133 0.633 0.000 1
```

Results
Polymorph energy (0 for the lowest one) (meV per atom): 0
Size of the total moment (μB per formula unit): 0.0
Formation energy (no corrections) (meV per atom): -256
Electronic total energy (eV per atom): -6.716

# 4
This record from the Alexandria database describes crystalline LiCo2As at its relaxed geometry. The functional is PBE.

The structure in CIF format:
```
data_LiCo2As
_cell_length_a 3.722
_cell_length_b 3.722
_cell_length_c 3.236
_cell_angle_alpha 90.00
_cell_angle_beta 90.00
_cell_angle_gamma 90.00
_symmetry_space_group_name_H-M 'P 4/m m m'
_symmetry_Int_Tables_number 123
_symmetry_space_group_name_Hall '-P 4 2'
loop_
_atom_site_label
_atom_site_type_symbol
_atom_site_fract_x
_atom_site_fract_y
_atom_site_fract_z
_atom_site_occupancy
Li1 Li 0.000 0.000 0.000 1
Co1 Co 0.000 0.500 0.500 1
As1 As 0.500 0.500 0.000 1
```

Results
E_form (meV per atom): -116
Size of the total moment (μB per formula unit): 0.0
Electronic total energy (eV per atom): -5.309

# 5
This record from the Alexandria database describes crystalline ThAl3Ni3 at its relaxed geometry. The functional is PBE.

The structure in CIF format:
```
data_ThAl3Ni3
_cell_length_a 6.3878
_cell_length_b 6.3878
_cell_length_c 19.5059
_cell_angle_alpha 90.00
_cell_angle_beta 90.00
_cell_angle_gamma 120.00
_symmetry_space_group_name_H-M 'R -3'
_symmetry_Int_Tables_number 148
_symmetry_space_group_name_Hall '-R 3'
loop_
_atom_site_label
_atom_site_type_symbol
_atom_site_fract_x
_atom_site_fract_y
_atom_site_fract_z
_atom_site_occupancy
Th1 Th 0.0000 0.0000 0.1563 1
Al1 Al 0.0482 0.6123 0.3718 1
Ni1 Ni 0.0182 0.7796 0.5770 1
```

Results
E_form (meV per atom): -364
Size of the total moment (μB per formula unit): 0.0
Electronic total energy (eV per atom): -5.506

# 6
This record from the Alexandria database describes crystalline Sm3NiIr2 at its relaxed geometry. The functional is PBE.

The structure in CIF format:
```
data_Sm3NiIr2
_cell_length_a 11.441
_cell_length_b 4.158
_cell_length_c 11.418
_cell_angle_alpha 90.00
_cell_angle_beta 90.00
_cell_angle_gamma 90.00
_symmetry_space_group_name_H-M 'P n m a'
_symmetry_Int_Tables_number 62
loop_
_symmetry_equiv_pos_as_xyz
'x,y,z'
'-x,-y,-z'
'-x+1/2,-y,z+1/2'
'x+1/2,y,-z+1/2'
'x+1/2,-y+1/2,-z+1/2'
'-x+1/2,y+1/2,z+1/2'
'-x,y+1/2,-z'
'x,-y+1/2,z'
loop_
_atom_site_label
_atom_site_type_symbol
_atom_site_fract_x
_atom_site_fract_y
_atom_site_fract_z
_atom_site_occupancy
Sm1 Sm 0.051 0.250 0.123 1
Sm2 Sm 0.119 0.750 0.560 1
Sm3 Sm 0.209 0.250 0.807 1
Ni1 Ni 0.127 0.250 0.370 1
Ir1 Ir 0.018 0.750 0.312 1
Ir2 Ir 0.187 0.750 0.994 1
```

Results
E_form (meV per atom): -611
Size of the total moment (μB per formula unit): 0.0
Electronic total energy (eV per atom): -6.888